This record from Alexandria describes Al4RhSe after structural relaxation. The functional is PBE-GGA.

Unit cell a=5.2172 b=5.2172 c=5.2172 alpha=60.00 beta=60.00 gamma=60.00
With the nearest neighbours (Å) after each atom.
Fractional coordinates of all 6 atoms:
1 Al 0.1244 0.1244 0.1244  6 Al 2.60-2.62
2 Al 0.1244 0.1244 0.6269  6 Al 2.60-2.62
3 Al 0.1244 0.6269 0.1244  6 Al 2.60-2.62
4 Al 0.6269 0.1244 0.1244  6 Al 2.60-2.62
5 Rh 0.7500 0.7500 0.7500  12 Al 3.06, 4 Se 3.19
6 Se 0.5000 0.5000 0.5000  12 Al 3.06, 4 Rh 3.19

Output
The raw formation energy comes out at 0.164 eV/atom. The total magnetization is 0.000 μB/atom.